A plane-wave DFT calculation with GGA-PBE was carried out for crystalline KLaI2Br at its relaxed geometry.

Spin magnetization   0.50 μB per formula unit
Symmetry   P4/mmm, No. 123
Electronic total energy   -3.5292 eV per atom

Unit cell a=6.336 b=6.336 c=5.870 alpha=90.00 beta=90.00 gamma=90.00
Sites, in units of the cell vectors:
K (0.000, 0.000, 0.000)
La (0.500, 0.500, 0.500)
I (0.000, 0.500, 0.500)
I (0.500, 0.000, 0.500)
Br (0.500, 0.500, 0.000)